Entry 1:
GGA-PBE HgNF3, relaxed; E above lowest polymorph = 0.5366 eV/atom; formation energy without anion corrections = 0.16 eV per atom; DFT total energy = -2.6889 eV per atom; space group = Pm-3m (221); calculated volume = 16.799 Å³ per atom
1.0
-3.565 -1.753 1.844
2.125 -3.797 0.499
1.398 1.301 3.941
N Hg F
1 1 3
direct
0.500 0.500 0.500 N
0.000 0.000 0.000 Hg
0.000 0.500 0.000 F
0.000 0.000 0.500 F
0.500 0.000 0.000 F

Entry 2:
GGA-PBE SrMgGa2Hg2, relaxed; DFT total energy = -1.9570 eV per atom; formation enthalpy at 0 K = -301 meV/atom; space group = P-3m1 (164); calculated volume = 24.009 Å³ per atom
1.0
-0.484 3.426 3.155
-3.681 -2.652 -1.159
1.756 -4.864 5.550
Sr Mg Ga Hg
1 1 2 2
direct
0.000 0.000 0.000 Sr
0.000 0.000 0.500 Mg
0.667 0.333 0.727 Ga
0.333 0.667 0.273 Ga
0.667 0.333 0.299 Hg
0.333 0.667 0.701 Hg

Entry 3:
GGA-PBE As2OsW, relaxed; E above lowest polymorph = 0.6035 eV/atom; DFT total energy = -7.6885 eV per atom; formation enthalpy at 0 K = 682 meV/atom; space group = Pmmm (47); calculated volume = 16.145 Å³ per atom
1.0
-2.371 1.897 -0.025
-3.167 -3.970 -1.003
-0.523 -0.601 4.030
As Os W
2 1 1
direct
0.000 0.000 0.000 As
0.500 0.500 0.000 As
0.500 0.000 0.500 Os
0.000 0.500 0.500 W

Entry 4:
GGA-PBE Y2ErN, relaxed; formation energy without anion corrections = -0.67 eV per atom; DFT total energy = -7.1198 eV per atom; space group = R-3m (166); calculated volume = 24.410 Å³ per atom
1.0
3.466 0.000 0.000
1.733 3.002 0.000
1.733 1.001 9.385
Y N Er
2 1 1
direct
0.119 0.119 0.642 Y
0.881 0.881 0.358 Y
0.500 0.500 0.500 N
0.000 0.000 0.000 Er

Entry 5:
GGA-PBE NiSnH, relaxed; E above lowest polymorph = 0.2088 eV/atom; DFT total energy = -4.2005 eV per atom; space group = I4mm (107); calculated volume = 14.268 Å³ per atom
1.0
3.391 0.000 0.000
0.000 3.391 0.000
-1.696 -1.696 3.722
Ni Sn H
1 1 1
direct
0.569 0.569 0.138 Ni
0.915 0.915 0.830 Sn
0.366 0.366 0.732 H

Entry 6:
GGA-PBE NaSmTmAl, relaxed; DFT total energy = -3.5945 eV per atom; formation enthalpy at 0 K = -31 meV/atom; space group = F-43m (216); calculated volume = 26.360 Å³ per atom
1.0
5.303 0.000 0.000
2.651 4.592 0.000
2.651 1.531 4.330
Na Tm Al Sm
1 1 1 1
direct
0.000 0.000 0.000 Na
0.750 0.750 0.750 Tm
0.500 0.500 0.500 Al
0.250 0.250 0.250 Sm

Entry 7:
GGA-PBE Nb3Ga, relaxed; DFT total energy = -8.4515 eV per atom; formation enthalpy at 0 K = -143 meV/atom; space group = Pm-3m (221); calculated volume = 17.478 Å³ per atom
1.0
-1.187 3.318 2.135
-2.416 1.151 -3.132
-3.119 -2.154 1.614
Nb Ga
3 1
direct
0.000 0.500 0.500 Nb
0.500 0.000 0.500 Nb
0.500 0.500 0.000 Nb
0.000 0.000 0.000 Ga

Entry 8:
GGA-PBE BaPd2O, relaxed; formation energy without anion corrections = -0.60 eV per atom; DFT total energy = -4.9126 eV per atom; space group = I4_1/amd (141); calculated volume = 23.018 Å³ per atom
1.0
-1.393 3.188 -4.039
1.867 -3.587 -3.475
-5.591 -3.021 -3.975
O Ba Pd
2 2 4
direct
0.500 0.500 0.000 O
0.250 0.750 0.500 O
0.000 0.000 0.000 Ba
0.750 0.250 0.500 Ba
0.375 0.125 0.250 Pd
0.375 0.625 0.250 Pd
0.375 0.625 0.750 Pd
0.875 0.625 0.750 Pd

Entry 9:
GGA-PBE LaEr3Sn2, relaxed; DFT total energy = -4.9373 eV per atom; formation enthalpy at 0 K = -500 meV/atom; space group = C2/m (12); calculated volume = 30.263 Å³ per atom
1.0
4.635 0.000 0.000
-2.318 10.165 -0.474
0.000 -5.075 7.944
La Er Sn
2 6 4
direct
0.885 0.769 0.911 La
0.115 0.231 0.089 La
0.307 0.613 0.499 Er
0.943 0.885 0.576 Er
0.640 0.279 0.797 Er
0.360 0.721 0.203 Er
0.057 0.115 0.424 Er
0.693 0.387 0.501 Er
0.486 0.972 0.827 Sn
0.514 0.028 0.173 Sn
0.760 0.521 0.226 Sn
0.240 0.479 0.774 Sn

Entry 10:
GGA-PBE Ta5Nb4Mo, relaxed; DFT total energy = -11.0876 eV per atom; formation enthalpy at 0 K = -50 meV/atom; space group = P4/mmm (123); calculated volume = 17.933 Å³ per atom
1.0
3.285 0.000 0.000
0.000 3.285 0.000
0.000 0.000 16.622
Ta Nb Mo
5 4 1
direct
0.500 0.500 0.095 Ta
0.500 0.500 0.298 Ta
0.500 0.500 0.500 Ta
0.500 0.500 0.702 Ta
0.500 0.500 0.905 Ta
0.000 0.000 0.198 Nb
0.000 0.000 0.399 Nb
0.000 0.000 0.601 Nb
0.000 0.000 0.802 Nb
0.000 0.000 0.000 Mo

Entry 11:
GGA-PBE Cs2NaScN, relaxed; formation energy without anion corrections = 1.11 eV per atom; DFT total energy = -2.4295 eV per atom; space group = P4/mmm (123); calculated volume = 42.007 Å³ per atom
1.0
-3.028 -5.409 3.260
3.110 0.033 2.943
-3.743 4.449 3.905
Cs Sc N Na
2 1 1 1
direct
0.000 0.000 0.500 Cs
0.500 0.000 0.000 Cs
0.500 0.500 0.500 Sc
0.000 0.500 0.000 N
0.000 0.000 0.000 Na

Entry 12:
GGA-PBE NiAg2Pt, relaxed; DFT total energy = -4.2183 eV per atom; formation enthalpy at 0 K = 163 meV/atom; space group = I4/mmm (139); calculated volume = 15.594 Å³ per atom
1.0
-1.698 0.953 -4.583
-4.765 -1.295 -0.640
2.444 2.666 3.422
Ag Ni Pt
2 1 1
direct
0.000 0.000 0.000 Ag
0.500 0.500 0.000 Ag
0.250 0.750 0.500 Ni
0.750 0.250 0.500 Pt

Entry 13:
GGA-PBE RbHfB, relaxed; E above lowest polymorph = 1.6274 eV/atom; DFT total energy = -4.1935 eV per atom; formation enthalpy at 0 K = 1673 meV/atom; space group = P6_3/mmc (194); calculated volume = 43.577 Å³ per atom
1.0
5.083 -2.935 0.000
0.000 5.870 0.000
0.000 0.000 8.763
B Hf Rb
2 2 2
direct
0.000 0.000 0.250 B
0.000 0.000 0.750 B
0.000 0.000 0.000 Hf
0.000 0.000 0.500 Hf
0.333 0.667 0.250 Rb
0.667 0.333 0.750 Rb

Entry 14:
GGA-PBE Li2BPd3, relaxed; E above lowest polymorph = 0.0000 eV/atom; DFT total energy = -4.8002 eV per atom; formation enthalpy at 0 K = -453 meV/atom; space group = P4_332 (212); calculated volume = 13.265 Å³ per atom
1.0
6.828 0.000 0.000
0.000 6.828 0.000
0.000 0.000 6.828
Li B Pd
8 4 12
direct
0.307 0.307 0.307 Li
0.057 0.443 0.557 Li
0.557 0.057 0.443 Li
0.443 0.557 0.057 Li
0.193 0.693 0.807 Li
0.943 0.943 0.943 Li
0.807 0.193 0.693 Li
0.693 0.807 0.193 Li
0.875 0.375 0.125 B
0.375 0.125 0.875 B
0.625 0.625 0.625 B
0.125 0.875 0.375 B
0.196 0.054 0.625 Pd
0.446 0.375 0.696 Pd
0.054 0.625 0.196 Pd
0.946 0.125 0.304 Pd
0.304 0.946 0.125 Pd
0.696 0.446 0.375 Pd
0.554 0.875 0.804 Pd
0.625 0.196 0.054 Pd
0.375 0.696 0.446 Pd
0.875 0.804 0.554 Pd
0.125 0.304 0.946 Pd
0.804 0.554 0.875 Pd

Entry 15:
GGA-PBE SmSiAg, relaxed; formation energy without anion corrections = -0.39 eV per atom; DFT total energy = -4.7177 eV per atom; space group = F-43m (216); calculated volume = 23.965 Å³ per atom
1.0
-3.687 -2.651 1.080
0.235 -4.636 -0.491
0.124 -2.743 3.774
Si Ag Sm
1 1 1
direct
0.250 0.250 0.250 Si
0.000 0.000 0.000 Ag
0.500 0.500 0.500 Sm

Entry 16:
GGA-PBE NiGe2Pb2, relaxed; DFT total energy = -4.3768 eV per atom; formation enthalpy at 0 K = 110 meV/atom; space group = P4/mbm (127); calculated volume = 22.172 Å³ per atom
1.0
-2.797 1.756 5.473
-4.989 -3.764 -1.341
2.423 -4.124 2.562
Pb Ni Ge
4 2 4
direct
0.180 0.680 0.500 Pb
0.680 0.820 0.500 Pb
0.820 0.320 0.500 Pb
0.320 0.180 0.500 Pb
0.000 0.000 0.000 Ni
0.500 0.500 0.000 Ni
0.354 0.854 0.000 Ge
0.854 0.646 0.000 Ge
0.646 0.146 0.000 Ge
0.146 0.354 0.000 Ge

Entry 17:
GGA-PBE Ta2Nb5Mo4, relaxed; E above lowest polymorph = 0.0000 eV/atom; DFT total energy = -10.8080 eV per atom; formation enthalpy at 0 K = -137 meV/atom; space group = P-1 (2); calculated volume = 17.204 Å³ per atom
1.0
-1.938 -2.587 -0.212
5.371 -3.754 -3.252
3.797 2.541 8.465
Ta Nb Mo
2 5 4
direct
0.765 0.450 0.176 Ta
0.235 0.550 0.824 Ta
0.970 0.092 0.645 Nb
0.030 0.908 0.355 Nb
0.695 0.641 0.462 Nb
0.500 0.000 0.000 Nb
0.305 0.359 0.538 Nb
0.406 0.182 0.272 Mo
0.864 0.273 0.908 Mo
0.594 0.818 0.728 Mo
0.136 0.727 0.092 Mo

Entry 18:
GGA-PBE La2Th2Bi5, relaxed; DFT total energy = -5.6226 eV per atom; formation enthalpy at 0 K = -723 meV/atom; space group = Cmce (64); calculated volume = 34.007 Å³ per atom
1.0
-7.261 0.560 4.740
-2.244 -8.625 -2.418
5.022 2.181 7.436
La Th Bi
4 4 10
direct
0.345 0.152 0.152 La
0.655 0.848 0.848 La
0.845 0.348 0.348 La
0.155 0.652 0.652 La
0.000 0.806 0.194 Th
0.500 0.306 0.694 Th
0.000 0.194 0.806 Th
0.500 0.694 0.306 Th
0.000 0.000 0.000 Bi
0.500 0.500 0.500 Bi
0.155 0.199 0.486 Bi
0.845 0.514 0.801 Bi
0.655 0.014 0.301 Bi
0.345 0.699 0.986 Bi
0.845 0.801 0.514 Bi
0.155 0.486 0.199 Bi
0.345 0.986 0.699 Bi
0.655 0.301 0.014 Bi

Entry 19:
GGA-PBE Ce3Ni2Ge7, relaxed; DFT total energy = -5.7941 eV per atom; formation enthalpy at 0 K = -654 meV/atom; space group = Cmmm (65); calculated volume = 19.197 Å³ per atom
1.0
12.880 -0.021 0.000
-12.175 4.203 0.000
0.000 0.000 4.276
Ce Ni Ge
3 2 7
direct
0.684 0.316 0.500 Ce
0.316 0.684 0.500 Ce
0.000 0.000 0.000 Ce
0.871 0.129 0.000 Ni
0.129 0.871 0.000 Ni
0.588 0.412 0.000 Ge
0.412 0.588 0.000 Ge
0.779 0.221 0.000 Ge
0.221 0.779 0.000 Ge
0.912 0.088 0.500 Ge
0.088 0.912 0.500 Ge
0.500 0.500 0.500 Ge

Entry 20:
GGA-PBE SiPPb2, relaxed; E above lowest polymorph = 0.1590 eV/atom; formation energy without anion corrections = 0.22 eV per atom; DFT total energy = -4.3405 eV per atom; space group = Cm (8); calculated volume = 24.117 Å³ per atom
1.0
6.039 0.028 -0.051
5.024 3.352 -0.051
2.306 0.705 4.779
P Pb Si
1 2 1
direct
0.198 0.198 0.296 P
0.979 0.979 0.026 Pb
0.773 0.773 0.724 Pb
0.551 0.551 0.454 Si

Entry 21:
GGA-PBE K3ZnAu3, relaxed; DFT total energy = -2.3369 eV per atom; formation enthalpy at 0 K = -280 meV/atom; space group = C2/m (12); calculated volume = 29.870 Å³ per atom
1.0
-0.147 -1.046 4.610
5.732 -1.684 2.227
2.406 13.827 5.642
K Zn Au
6 2 6
direct
0.520 0.338 0.621 K
0.480 0.662 0.379 K
0.238 0.291 0.233 K
0.762 0.709 0.767 K
0.400 0.278 0.922 K
0.600 0.722 0.078 K
0.753 0.076 0.418 Zn
0.247 0.924 0.582 Zn
0.865 0.731 0.538 Au
0.135 0.269 0.462 Au
0.109 0.864 0.918 Au
0.891 0.136 0.082 Au
0.926 0.898 0.249 Au
0.074 0.102 0.751 Au

Entry 22:
GGA-PBE SmY4Pd4, relaxed; DFT total energy = -6.3567 eV per atom; formation enthalpy at 0 K = -651 meV/atom; space group = P4_2/n (86); calculated volume = 26.344 Å³ per atom
1.0
5.832 0.000 0.000
0.000 9.017 0.000
0.000 0.000 9.017
Sm Y Pd
2 8 8
direct
0.000 0.000 0.000 Sm
0.500 0.500 0.500 Sm
0.412 0.321 0.908 Y
0.912 0.592 0.821 Y
0.412 0.679 0.092 Y
0.088 0.179 0.592 Y
0.588 0.908 0.679 Y
0.088 0.821 0.408 Y
0.912 0.408 0.179 Y
0.588 0.092 0.321 Y
0.593 0.784 0.374 Pd
0.593 0.216 0.626 Pd
0.093 0.874 0.716 Pd
0.907 0.284 0.874 Pd
0.907 0.716 0.126 Pd
0.407 0.374 0.216 Pd
0.407 0.626 0.784 Pd
0.093 0.126 0.284 Pd

Entry 23:
GGA-PBE Ca2PmPr6, relaxed; DFT total energy = -3.9901 eV per atom; formation enthalpy at 0 K = 169 meV/atom; space group = C2/m (12); calculated volume = 37.483 Å³ per atom
1.0
-0.816 3.340 0.644
-8.037 -3.243 6.639
10.034 0.031 3.185
Ca Pm Pr
2 1 6
direct
0.344 0.339 0.679 Ca
0.656 0.661 0.321 Ca
0.000 0.000 0.000 Pm
0.836 0.015 0.668 Pr
0.164 0.347 0.332 Pr
0.164 0.985 0.332 Pr
0.500 0.297 0.000 Pr
0.836 0.653 0.668 Pr
0.500 0.703 0.000 Pr

Entry 24:
GGA-PBE BaTl3Sn2, relaxed; DFT total energy = -2.9951 eV per atom; formation enthalpy at 0 K = -157 meV/atom; space group = Cmcm (63); calculated volume = 33.696 Å³ per atom
1.0
-4.532 2.345 -4.224
1.040 -6.246 -4.582
-5.640 -3.556 4.078
Ba Tl Sn
2 6 4
direct
0.250 0.323 0.323 Ba
0.750 0.677 0.677 Ba
0.750 0.415 0.097 Tl
0.750 0.097 0.415 Tl
0.250 0.585 0.903 Tl
0.750 0.003 0.003 Tl
0.250 0.997 0.997 Tl
0.250 0.903 0.585 Tl
0.500 0.743 0.257 Sn
0.000 0.743 0.257 Sn
0.000 0.257 0.743 Sn
0.500 0.257 0.743 Sn